1.
The following is a DFT calculation (PBE-GGA) of crystalline PIrAu2 at its relaxed geometry.

Cell lengths 3.6221, 3.8096, 5.2938 Å; angles 69.76, 90.00, 90.00 degrees
Closest atoms and distances in Å follow each position.
Element x y z (fractional)
1 Au 0.0000 0.9671 0.9490  4 P 2.77, 3 Ir 2.78-2.90, 2 Au 3.04
2 Au 0.5000 0.2989 0.2694  1 P 2.47
3 Ir 0.0000 0.6815 0.5096  2 P 2.23
4 P 0.5000 0.5525 0.7721  2 Ir 2.23, 1 Au 2.47

Summary:
Space-group type: Pm


2.
The following is a DFT calculation (PBE-GGA) of crystalline Sc2TiSnC at its relaxed geometry.

Cell lengths 4.5169, 4.5169, 4.2798 Å; angles 90.00, 90.00, 90.00 degrees
Closest atoms and distances in Å follow each position.
Element x y z (fractional)
1 Sc 0.0000 0.5000 0.0000  2 C 2.26
2 Sc 0.5000 0.0000 0.0000  2 C 2.26
3 C 0.0000 0.0000 0.0000  2 Ti 2.14, 4 Sc 2.26
4 Sn 0.5000 0.5000 0.5000  8 Sc 3.11, 4 Ti 3.19
5 Ti 0.0000 0.0000 0.5000  2 C 2.14

Summary:
Space-group type: P4/mmm


no.,energy (eV for the cell shown),density (Mg/m³)
1,-20.35,14.95
2,-37.26,5.11